5
Lattice="3.715 0.000 0.000 0.000 3.715 0.000 0.000 0.000 3.879" Properties=species:S:1:pos:R:3 comment="TiVNO2 PBE+U relaxed" magmom_total_mub_per_cell=1.95 e_tot_ev_per_atom=-7.70 mass_density_g_cm3=4.491 pbc="T T T"
Ti 0.000 0.000 0.000
V 1.858 1.858 1.940
N 1.858 1.858 0.000
O 0.000 1.858 1.940
O 1.858 0.000 1.940